Material: TiIrC2
Method: DFT, PBE
State: relaxed

Unit cell a=5.400 b=5.400 c=5.400 alpha=90.00 beta=90.00 gamma=90.00
Space group Fm-3m (No. 225)
Unique sites:
1 Ti 0.000 0.000 0.000 (multiplicity 4)
2 Ir 0.000 0.000 0.500 (multiplicity 4)
3 C 0.250 0.250 0.250 (multiplicity 8)

Output
Excess energy over the best structure of this formula in the dataset   472 meV per atom
E_form   0.731 eV per atom
N(E_F)   11.10 states/eV/cell